1.
Density functional theory data (GGA-PBE) for a relaxed structure of LaSmHoEr3.

Cell: 5.6148 10.2124 7.1261 Å, 90.62 90.00 105.96°
With the nearest neighbours (Å) after each atom.
Element x y z (fractional)
La 0.3554 0.7108 0.9675  1 Ho 3.02, 2 Er 3.17-3.30
La 0.6446 0.2892 0.0325  1 Ho 3.02, 2 Er 3.17-3.30
Sm 0.0522 0.1045 0.2713  3 Er 3.18-3.32
Sm 0.9478 0.8955 0.7287  3 Er 3.18-3.32
Ho 0.6509 0.3019 0.4564  1 La 3.02, 2 Er 3.19-3.29
Ho 0.3491 0.6981 0.5436  1 La 3.02, 2 Er 3.19-3.29
Er 0.8355 0.6710 0.2726  2 Ho 3.42, 2 La 3.58, 4 Er 3.60-3.82
Er 0.7789 0.5579 0.7580  3 Ho 3.29-3.49, 3 La 3.30-3.51, 1 Sm 3.32, 3 Er 3.60-3.64
Er 0.4758 0.9517 0.2683  1 La 3.17, 2 Sm 3.18, 1 Ho 3.19, 1 Er 3.43
Er 0.2211 0.4421 0.2420  3 Ho 3.29-3.49, 3 La 3.30-3.51, 1 Sm 3.32, 3 Er 3.60-3.64
Er 0.5242 0.0483 0.7317  1 La 3.17, 2 Sm 3.18, 1 Ho 3.19, 1 Er 3.43
Er 0.1645 0.3290 0.7274  2 Ho 3.42, 2 La 3.58, 4 Er 3.60-3.82

Properties
The value obtained for the calculated total energy is -4.45 eV/atom. Its theoretical density is 8.08 g cm⁻³. Its energy relative to the elements is 20 kJ/mol of atoms. As for the spin magnetization: 0.00 μB per formula unit.

2.
Density functional theory data (GGA-PBE) for a relaxed structure of Ge2BiC4.

Cell: 4.4256 4.4256 6.4572 Å, 69.96 69.96 90.00°
With the nearest neighbours (Å) after each atom.
Element x y z (fractional)
C 0.7807 0.7807 0.4386  1 Ge 1.89
C 0.2193 0.2193 0.5614  1 Ge 1.89
C 0.0000 0.5000 0.0000  2 Bi 2.21
C 0.5000 0.0000 0.0000  2 Bi 2.21
Ge 0.6137 0.6137 0.7725  1 C 1.89
Ge 0.3863 0.3863 0.2275  1 C 1.89
Bi 0.0000 0.0000 0.0000  6 C 2.21-2.48

Properties
The value obtained for the calculated total energy is -4.53 eV/atom. Its theoretical density is 6.04 g cm⁻³. Its energy relative to the elements is 252 kJ/mol of atoms. As for the spin magnetization: 0.00 μB per formula unit.

3.
Density functional theory data (GGA-PBE) for a relaxed structure of BaNbCr2Cl.

Cell: 4.5125 7.2429 4.5125 Å, 90.00 90.00 90.00°
With the nearest neighbours (Å) after each atom.
Element x y z (fractional)
Cr 0.0000 0.0000 0.5000  2 Nb 2.26
Cr 0.5000 0.0000 0.0000  2 Nb 2.26
Nb 0.0000 0.0000 0.0000  4 Cr 2.26
Ba 0.0000 0.5000 0.0000  4 Cl 3.19
Cl 0.5000 0.5000 0.5000  4 Ba 3.19

Properties
The value obtained for the calculated total energy is -5.68 eV/atom. The value obtained for the energy relative to the elements, uncorrected is 0.94 eV per atom. Its theoretical density is 4.16 g cm⁻³. As for the spin magnetization: 0.30 μB per formula unit.

4.
Density functional theory data (GGA-PBE) for a relaxed structure of ZrCo2Tc.

Cell: 2.8355 2.8355 7.1771 Å, 90.00 90.00 90.00°
With the nearest neighbours (Å) after each atom.
Element x y z (fractional)
Co 0.0000 0.0000 0.0409  4 Co 2.44
Co 0.5000 0.5000 0.2334  4 Co 2.44, 4 Tc 2.55
Tc 0.0000 0.0000 0.4518  4 Co 2.55, 4 Tc 2.84
Zr 0.5000 0.5000 0.7739  4 Co 2.77, 4 Zr 2.84, 4 Tc 3.06

Properties
The calculation puts the energy above the most stable polymorph in this dataset at 129.7 meV per atom. The value obtained for the calculated total energy is -8.18 eV/atom. Its theoretical density is 8.84 g cm⁻³. Its energy relative to the elements is 10 kJ/mol of atoms. As for the spin magnetization: 2.17 μB per formula unit.

5.
Density functional theory data (GGA-PBE) for a relaxed structure of NaS6Cl2.

Cell: 4.1695 7.9683 7.9867 Å, 102.41 76.39 76.55°
With the nearest neighbours (Å) after each atom.
Element x y z (fractional)
Na 0.0000 0.0000 0.0000  4 Cl 2.77
S 0.9314 0.5499 0.2765  2 S 2.04-2.09
S 0.0686 0.4501 0.7235  2 S 2.04-2.09
S 0.8544 0.7090 0.7092  2 S 2.09
S 0.9278 0.2761 0.5489  2 S 2.04-2.09
S 0.0722 0.7239 0.4511  2 S 2.04-2.09
S 0.1456 0.2910 0.2908  2 S 2.09
Cl 0.4990 0.8534 0.1464  2 Na 2.77
Cl 0.5010 0.1466 0.8536  2 Na 2.77

Properties
The value obtained for the calculated total energy is -3.60 eV/atom. The value obtained for the energy relative to the elements, uncorrected is -0.29 eV per atom. Its theoretical density is 1.98 g cm⁻³. As for the spin magnetization: 0.00 μB per formula unit.

6.
Density functional theory data (GGA-PBE) for a relaxed structure of ZnRu2Rh.

Cell: 4.5022 4.5022 2.7967 Å, 90.00 90.00 90.00°
With the nearest neighbours (Å) after each atom.
Element x y z (fractional)
Rh 0.0000 0.5000 0.5000  8 Ru 2.65, 2 Rh 2.80
Ru 0.0000 0.0000 0.0000  4 Rh 2.65, 4 Zn 2.65, 2 Ru 2.80
Ru 0.5000 0.5000 0.0000  4 Zn 2.65, 4 Rh 2.65, 2 Ru 2.80
Zn 0.5000 0.0000 0.5000  8 Ru 2.65, 2 Zn 2.80

Properties
The value obtained for the calculated total energy is -6.54 eV/atom. Its theoretical density is 10.85 g cm⁻³. Its energy relative to the elements is 25 kJ/mol of atoms. As for the spin magnetization: 0.00 μB per formula unit.

7.
Density functional theory data (GGA-PBE) for a relaxed structure of BC2.

Cell: 4.5885 4.5885 7.4575 Å, 113.92 113.92 33.11°
With the nearest neighbours (Å) after each atom.
Element x y z (fractional)
B 0.6801 0.6801 0.3369  3 C 1.60-1.64
B 0.4878 0.4878 0.3733  3 C 1.62-1.63
B 0.8645 0.8645 0.0828  3 C 1.55-1.59
B 0.6386 0.6386 0.7967  3 C 1.57-1.59
C 0.3223 0.3223 0.1649  1 C 1.54, 3 B 1.55-1.62
C 0.1594 0.1594 0.1957  2 C 1.54-1.56, 2 B 1.64
C 0.0005 0.0005 0.9945  3 C 1.56-1.58, 1 B 1.59
C 0.4958 0.4958 0.8741  3 C 1.58-1.59, 1 B 1.59
C 0.3351 0.3351 0.6678  4 C 1.56-1.59
C 0.1725 0.1725 0.7033  2 C 1.55-1.56, 2 B 1.57
C 0.0058 0.0058 0.5123  2 C 1.55-1.61, 2 B 1.63
C 0.8378 0.8378 0.5477  3 C 1.59-1.61, 1 B 1.60

Properties
The calculation puts the energy above the most stable polymorph in this dataset at 127.7 meV per atom. The value obtained for the calculated total energy is -8.01 eV/atom. Its theoretical density is 2.98 g cm⁻³. Its energy relative to the elements is 35 kJ/mol of atoms. As for the spin magnetization: 0.00 μB per formula unit.

8.
Density functional theory data (GGA-PBE) for a relaxed structure of Er6Sc2Ag.

Cell: 5.1726 9.8456 9.8430 Å, 90.01 90.00 90.00°
With the nearest neighbours (Å) after each atom.
Element x y z (fractional)
Er 0.0000 0.0374 0.1823  1 Ag 3.15, 3 Sc 3.24-3.27, 1 Er 3.37
Er 0.0000 0.6821 0.5376  1 Ag 3.15, 3 Sc 3.24-3.27, 1 Er 3.37
Er 0.0000 0.6249 0.8752  2 Ag 3.12, 3 Er 3.37-3.48, 4 Sc 3.40-3.46
Er 0.5000 0.1249 0.6248  2 Ag 3.12, 3 Er 3.37-3.48, 4 Sc 3.40-3.46
Er 0.5000 0.1822 0.9625  1 Ag 3.15, 3 Sc 3.23-3.27, 1 Er 3.37
Er 0.5000 0.5374 0.3179  1 Ag 3.15, 3 Sc 3.24-3.27, 1 Er 3.37
Er 0.0000 0.9626 0.8177  1 Ag 3.15, 3 Sc 3.24-3.27, 1 Er 3.37
Er 0.0000 0.3179 0.4624  1 Ag 3.15, 3 Sc 3.24-3.27, 1 Er 3.37
Er 0.0000 0.3751 0.1248  2 Ag 3.12, 3 Er 3.37-3.48, 4 Sc 3.40-3.46
Er 0.5000 0.8751 0.3752  2 Ag 3.12, 3 Er 3.37-3.48, 4 Sc 3.40-3.46
Er 0.5000 0.8178 0.0375  1 Ag 3.15, 3 Sc 3.23-3.27, 1 Er 3.37
Er 0.5000 0.4626 0.6821  1 Ag 3.15, 3 Sc 3.24-3.27, 1 Er 3.37
Sc 0.0000 0.2901 0.7899  10 Er 3.24-3.46
Sc 0.5000 0.7901 0.7101  10 Er 3.23-3.46
Sc 0.5000 0.2099 0.2899  10 Er 3.23-3.46
Sc 0.0000 0.7099 0.2101  10 Er 3.24-3.46
Ag 0.5000 0.5000 0.0000  8 Er 3.12-3.15
Ag 0.0000 0.0000 0.5000  8 Er 3.12-3.15

Properties
The value obtained for the calculated total energy is -4.75 eV/atom. Its theoretical density is 7.96 g cm⁻³. Its energy relative to the elements is 2 kJ/mol of atoms. As for the spin magnetization: 0.00 μB per formula unit.

9.
Density functional theory data (GGA-PBE) for a relaxed structure of Hf6AlPt.

Cell: 6.1628 6.1628 6.2774 Å, 104.70 104.70 120.99°
With the nearest neighbours (Å) after each atom.
Element x y z (fractional)
Hf 0.2534 0.2534 0.7434  1 Pt 2.63, 1 Al 2.74
Hf 0.4733 0.0421 0.2437  1 Pt 2.77, 1 Al 2.77, 3 Hf 3.04-3.05
Hf 0.7466 0.7466 0.2566  1 Pt 2.63, 1 Al 2.74
Hf 0.9579 0.5267 0.7563  1 Pt 2.77, 1 Al 2.77, 3 Hf 3.04-3.05
Hf 0.5267 0.9579 0.7563  1 Pt 2.77, 1 Al 2.77, 3 Hf 3.04-3.05
Hf 0.0421 0.4733 0.2437  1 Pt 2.77, 1 Al 2.77, 3 Hf 3.04-3.05
Al 0.0000 0.0000 0.0000  6 Hf 2.74-2.77, 2 Pt 3.04
Pt 0.5000 0.5000 0.5000  6 Hf 2.63-2.77

Properties
The value obtained for the calculated total energy is -8.59 eV/atom. Its theoretical density is 12.26 g cm⁻³. Its energy relative to the elements is 10 kJ/mol of atoms. As for the spin magnetization: 0.00 μB per formula unit.

> Which formula does entry 5 have?

NaS6Cl2

What did the fourth record say?
Density functional theory data (GGA-PBE) for a relaxed structure of ZrCo2Tc.

Cell: 2.8355 2.8355 7.1771 Å, 90.00 90.00 90.00°
With the nearest neighbours (Å) after each atom.
Element x y z (fractional)
Co 0.0000 0.0000 0.0409  4 Co 2.44
Co 0.5000 0.5000 0.2334  4 Co 2.44, 4 Tc 2.55
Tc 0.0000 0.0000 0.4518  4 Co 2.55, 4 Tc 2.84
Zr 0.5000 0.5000 0.7739  4 Co 2.77, 4 Zr 2.84, 4 Tc 3.06

Properties
The calculation puts the energy above the most stable polymorph in this dataset at 129.7 meV per atom. The value obtained for the calculated total energy is -8.18 eV/atom. Its theoretical density is 8.84 g cm⁻³. Its energy relative to the elements is 10 kJ/mol of atoms. As for the spin magnetization: 2.17 μB per formula unit.